First-principles (PBE with a Hubbard U) data for a relaxed structure of Cs2Ca3VF12, as listed in the Alexandria database.

```
Cs2Ca3VF12
1.0
7.995 -0.001 0.000
3.948 6.952 0.000
3.948 2.298 6.561
F Ca Cs V
12 3 2 1
Cartesian
8.208 2.013 4.357
7.682 7.236 2.203
3.547 5.159 0.380
9.652 8.713 6.180
10.085 3.106 2.203
7.682 4.471 6.100
3.547 2.064 4.744
6.238 0.536 0.380
12.343 4.090 6.180
8.208 4.778 0.460
5.804 6.143 4.357
12.343 7.185 1.817
1.974 1.149 3.281
3.997 0.000 0.000
1.974 3.476 0.000
6.200 3.609 2.560
9.690 5.640 4.001
0.000 0.000 0.000
```

Values from the calculation:
The total energy is -97.88 eV per cell. For the calculated volume, the calculation gives 20.261 A^3/atom. As for the space-group type: R-3m (166). As for the density of states at the Fermi level: 0.000 states/eV per cell. The crystal system is trigonal.